The following is a PBE-GGA calculation of a geometry-optimized LiMgGa4 structure, from the Alexandria database.

abc: 5.428 5.428 5.428
angles: 60.00 60.00 60.00
Fractional positions:
Ga: 0.625 0.124 0.625
Ga: 0.625 0.625 0.625
Ga: 0.124 0.625 0.625
Ga: 0.625 0.625 0.124
Mg: 0.250 0.250 0.250
Li: 0.000 0.000 0.000

Space-group type = No. 216
Total moment = 0.00 μB/f.u.
Calculated volume = 18.85 A^3/atom
Uncorrected energy = -2.76 eV/atom

The following is a PBE-GGA calculation of a geometry-optimized Ac4MgAu5 structure, from the Alexandria database.

abc: 3.816 3.816 19.046
angles: 90.00 90.00 90.00
Fractional positions:
Ac: 0.000 0.000 0.182
Ac: 0.000 0.000 0.395
Ac: 0.000 0.000 0.605
Ac: 0.000 0.000 0.818
Mg: 0.000 0.000 0.000
Au: 0.500 0.500 0.921
Au: 0.500 0.500 0.290
Au: 0.500 0.500 0.500
Au: 0.500 0.500 0.079
Au: 0.500 0.500 0.710

Space-group type = No. 123
Total moment = 0.00 μB/f.u.
Calculated volume = 27.73 A^3/atom
Uncorrected energy = -4.14 eV/atom